Density functional theory data (PBE-GGA) for BaNdGe4 after structural relaxation.

Fermi-level density of states = 13.9 states/eV/cell
electronic total energy = -4.5288 eV per atom
V = 585.6 Å³ per cell

Cell lengths 8.3665, 8.3665, 8.3665 Å; angles 90.00, 90.00, 90.00 degrees
Last column: nearest neighbours and their distance in Å.
Space group F-43m (No. 216)
One atom of each set of equivalent atoms:
1 Ba 0.0000 0.0000 0.0000  12 Ge 3.49, 4 Nd 3.62
2 Nd 0.2500 0.2500 0.7500  12 Ge 3.45, 4 Ba 3.62
3 Ge 0.1171 0.1171 0.3829  3 Ge 2.77

---

Density functional theory data (PBE-GGA) for Y5InRu2 after structural relaxation.

Fermi-level density of states = 23.7 states/eV/cell
electronic total energy = -7.0925 eV per atom
V = 822.1 Å³ per cell

Cell lengths 7.7426, 7.7426, 13.7140 Å; angles 90.00, 90.00, 90.00 degrees
Last column: nearest neighbours and their distance in Å.
Space group I4/mcm (No. 140)
One atom of each set of equivalent atoms:
1 Y 0.0000 0.0000 0.0000  4 Ru 2.99
2 Y 0.1604 0.3396 0.1330  3 Ru 2.84-2.96
3 In 0.0000 0.0000 0.2500  10 Y 3.32-3.43
4 Ru 0.1408 0.3592 0.5000  8 Y 2.84-2.99, 1 Ru 3.08

---

no.,formation energy (kJ/mol of formula units),spin magnetization (μB per cell)
1,-194,0.00
2,-302,0.00